An optimized crystal structure of Pm5Nd4Tm. Source: Alexandria, functional PBE-GGA.

Geometry as POSCAR:
```
Pm5Nd4Tm
1.0
-2.4322 1.1937 -2.4501
-4.8636 -4.8295 2.4751
-1.8437 9.3070 9.0877
Pm Nd Tm
5 4 1
direct
0.6992 0.5996 0.3984
0.9015 0.1991 0.8030
0.0985 0.8009 0.1970
0.5000 0.5000 0.0000
0.3008 0.4004 0.6016
0.3005 0.9004 0.6010
0.9016 0.7027 0.8032
0.6995 0.0996 0.3990
0.0984 0.2973 0.1968
0.5000 0.0000 0.0000
```

Output
Calculated total energy   -4.71 eV/atom
Excess energy over the best structure of this formula in the dataset   0.000 eV/f.u.
ΔH_f (0 K)   0.0149 eV/atom
Space-group type   C2/m